Here is crystalline BaSb2WCl at its relaxed geometry from Alexandria. Energies are from PBE.

a b c (Å): 5.126 5.126 6.650
angles (deg): 90.00 90.00 90.00
Positions (direct):
1 Ba 0.000 0.000 0.000
2 Sb 0.000 0.500 0.500
3 Sb 0.500 0.000 0.500
4 W 0.000 0.000 0.500
5 Cl 0.500 0.500 0.000

Properties
E_tot   -5.204 eV/atom
E_form (uncorrected)   -211 meV per atom
Space group   No. 123
Calculated density   5.7 g cm⁻³

***

Here is crystalline YZnCl2 at its relaxed geometry from Alexandria. Energies are from PBE.

a b c (Å): 5.623 5.623 3.653
angles (deg): 108.16 108.16 107.72
Positions (direct):
1 Y 0.000 0.000 0.000
2 Zn 0.500 0.500 0.000
3 Cl 0.000 0.500 0.000
4 Cl 0.500 0.000 0.000

Properties
E_tot   -3.800 eV/atom
E_form (uncorrected)   -942 meV per atom
Space group   No. 12
Polymorph energy (0 for the lowest one)   0.2726 eV/atom
Calculated density   4.0 g cm⁻³

***

Here is crystalline ZrHg2 at its relaxed geometry from Alexandria. Energies are from PBE.

a b c (Å): 4.984 4.984 6.112
angles (deg): 90.00 90.00 120.00
Positions (direct):
1 Zr 0.333 0.667 0.250
2 Zr 0.667 0.333 0.750
3 Hg 0.000 0.000 0.000
4 Hg 0.000 0.000 0.500
5 Hg 0.333 0.667 0.750
6 Hg 0.667 0.333 0.250

Properties
E_tot   -3.083 eV/atom
Space group   No. 194
ΔE_f   -0.03 eV per atom
Calculated density   12.4 g cm⁻³

***

Here is crystalline BaTaSn3 at its relaxed geometry from Alexandria. Energies are from PBE.

a b c (Å): 5.857 5.857 5.857
angles (deg): 90.00 90.00 90.00
Positions (direct):
1 Ba 0.000 0.000 0.000
2 Ta 0.500 0.500 0.500
3 Sn 0.000 0.000 0.500
4 Sn 0.000 0.500 0.000
5 Sn 0.500 0.000 0.000

Properties
E_tot   -3.100 eV/atom
Space group   No. 221
ΔE_f   2.06 eV per atom
Polymorph energy (0 for the lowest one)   2.2108 eV/atom
Calculated density   5.6 g cm⁻³

***

Here is crystalline Y2BeCd at its relaxed geometry from Alexandria. Energies are from PBE.

a b c (Å): 4.427 4.427 7.270
angles (deg): 101.04 101.04 48.43
Positions (direct):
1 Y 0.239 0.239 0.205
2 Y 0.761 0.761 0.795
3 Be 0.500 0.500 0.000
4 Cd 0.000 0.000 0.500

Properties
E_tot   -4.263 eV/atom
Space group   No. 12
ΔE_f   0.13 eV per atom
Polymorph energy (0 for the lowest one)   0.2694 eV/atom
Calculated density   4.8 g cm⁻³

***

Here is crystalline SrHg2Pt2 at its relaxed geometry from Alexandria. Energies are from PBE.

a b c (Å): 6.870 6.870 6.870
angles (deg): 142.53 142.53 54.04
Positions (direct):
1 Sr 0.000 0.000 0.000
2 Hg 0.250 0.750 0.500
3 Hg 0.750 0.250 0.500
4 Pt 0.396 0.396 0.000
5 Pt 0.604 0.604 0.000

Properties
E_tot   -3.313 eV/atom
Space group   No. 139
ΔE_f   -0.44 eV per atom
Polymorph energy (0 for the lowest one)   0.0000 eV/atom
Calculated density   12.2 g cm⁻³

***

Which formula does entry 2 have? YZnCl2

***

The highest E_tot belongs to which entry? ZrHg2